No. 1
# BaHg2Au | the Alexandria database | PBEsol | optimized geometry
data_BaHg2Au
_symmetry_space_group_name_H-M 'P 1'
_symmetry_Int_Tables_number 1
_symmetry_space_group_name_Hall 'P 1'
_cell_length_a 4.347
_cell_length_b 4.856
_cell_length_c 5.563
_cell_angle_alpha 90.00
_cell_angle_beta 103.44
_cell_angle_gamma 90.00
loop_
_atom_site_label
_atom_site_type_symbol
_atom_site_fract_x
_atom_site_fract_y
_atom_site_fract_z
Ba1 Ba 0.000 0.000 0.000
Hg1 Hg 0.341 0.500 0.710
Hg2 Hg 0.659 0.500 0.290
Au1 Au 0.500 0.000 0.500
# SG: P2/m (10)
# formation energy: -0.39 eV/atom
# E: -2.187 eV/atom
# total magnetization: 0.00 Bohr magnetons per cell

---

No. 2
# BaHg2Au | the Alexandria database | PBEsol | optimized geometry
data_BaHg2Au
_symmetry_space_group_name_H-M 'P 1'
_symmetry_Int_Tables_number 1
_symmetry_space_group_name_Hall 'P 1'
_cell_length_a 4.618
_cell_length_b 4.618
_cell_length_c 5.155
_cell_angle_alpha 90.00
_cell_angle_beta 90.00
_cell_angle_gamma 90.00
loop_
_atom_site_label
_atom_site_type_symbol
_atom_site_fract_x
_atom_site_fract_y
_atom_site_fract_z
Ba1 Ba 0.000 0.000 0.000
Hg1 Hg 0.000 0.500 0.500
Hg2 Hg 0.500 0.000 0.500
Au1 Au 0.500 0.500 0.000
# SG: P4/mmm (123)
# formation energy: -0.37 eV/atom
# E: -2.172 eV/atom
# total magnetization: 0.00 Bohr magnetons per cell